A relaxed structure of BeBrCl2, computed with PBE.

The space group is P4/mmm (No. 123) and the conventional cell measures 2.9754, 2.9754 and 11.2243 Å, with angles of 90.00, 90.00 and 90.00 degrees. The distinct sites, in fractional coordinates, are Be at (0.0000, 0.0000, 0.0000), Br at (0.0000, 0.0000, 0.5000) and Cl at (0.5000, 0.5000, 0.1269).

Its formation energy without anion corrections is -3.9 kcal/mol of atoms. The offset from the most stable computed form is 14.25 kcal/mol of atoms. For the density of states at the Fermi level, the calculation gives 1.28 states/eV/f.u. The total energy comes out at -0.090 Ha/atom.

---

A relaxed structure of Be2BrCl, computed with PBE.

The space group is F-43m (No. 216) and the conventional cell measures 6.7052, 6.7052 and 6.7052 Å, with angles of 90.00, 90.00 and 90.00 degrees. The distinct sites, in fractional coordinates, are Be at (0.0000, 0.0000, 0.0000), Be at (0.2500, 0.2500, 0.2500), Br at (0.2500, 0.2500, 0.7500) and Cl at (0.0000, 0.0000, 0.5000).

Its formation energy without anion corrections is 24.6 kcal/mol of atoms. The offset from the most stable computed form is 33.61 kcal/mol of atoms. For the density of states at the Fermi level, the calculation gives 3.57 states/eV/f.u. The total energy comes out at -0.062 Ha/atom.

---

A relaxed structure of BeBrCl2, computed with PBE.

The space group is Cm (No. 8) and the conventional cell measures 13.2245, 2.9398 and 7.2933 Å, with angles of 90.00, 122.85 and 90.00 degrees. The distinct sites, in fractional coordinates, are Be at (0.0000, 0.0000, 0.0000), Br at (0.3400, 0.0000, 0.8424), Cl at (0.1229, 0.5000, 0.1215) and Cl at (0.4919, 0.0000, 0.4923).

Its formation energy without anion corrections is -11.7 kcal/mol of atoms. The offset from the most stable computed form is 6.44 kcal/mol of atoms. For the density of states at the Fermi level, the calculation gives 1.59 states/eV/f.u. The total energy comes out at -0.102 Ha/atom.

---

Repeat the first record exactly.
A relaxed structure of BeBrCl2, computed with PBE.

The space group is P4/mmm (No. 123) and the conventional cell measures 2.9754, 2.9754 and 11.2243 Å, with angles of 90.00, 90.00 and 90.00 degrees. The distinct sites, in fractional coordinates, are Be at (0.0000, 0.0000, 0.0000), Br at (0.0000, 0.0000, 0.5000) and Cl at (0.5000, 0.5000, 0.1269).

Its formation energy without anion corrections is -3.9 kcal/mol of atoms. The offset from the most stable computed form is 14.25 kcal/mol of atoms. For the density of states at the Fermi level, the calculation gives 1.28 states/eV/f.u. The total energy comes out at -0.090 Ha/atom.